The following is a DFT calculation (PBE with a Hubbard U) of a geometry-optimized Ba2LiSmCoCu2O7 structure.

Its energy above the most stable polymorph in this dataset is 79 meV per atom.

Cell: 3.9668 3.9684 13.0408 Å, 90.00 90.00 90.00°
Closest atoms and distances in Å follow each position.
Positions (direct):
Ba 0.0000 0.0000 0.0000  6 O 2.58-2.82
Ba 0.0000 0.0000 0.3132  10 O 2.87-3.14
Li 0.0000 0.5000 0.8342  1 O 1.76
Sm 0.0000 0.0000 0.5938  8 O 2.41-2.51
Co 0.5000 0.5000 0.1317  4 O 1.79-1.98
Cu 0.5000 0.5000 0.4693  4 O 1.99
Cu 0.5000 0.5000 0.7045  4 O 1.98
O 0.0000 0.5000 0.1268  2 Co 1.98
O 0.0000 0.5000 0.4756  2 Cu 1.99
O 0.0000 0.5000 0.6989  1 Li 1.76
O 0.5000 0.0000 0.4759  2 Cu 1.99
O 0.5000 0.0000 0.7058  2 Cu 1.98
O 0.5000 0.5000 0.2687  1 Co 1.79
O 0.5000 0.5000 0.9800  1 Co 1.98

The following is a DFT calculation (PBE with a Hubbard U) of a geometry-optimized Li2CeSmMo4O16 structure.

For the total energy, the calculation gives -7.200 eV/atom.

Cell: 5.2703 5.2703 11.4662 Å, 90.00 90.00 90.00°
Closest atoms and distances in Å follow each position.
Positions (direct):
Li 0.0000 0.5000 0.2196  4 O 2.19-2.37
Li 0.5000 0.0000 0.7804  4 O 2.19-2.37
Ce 0.0000 0.0000 0.0000  8 O 2.42-2.45
Sm 0.5000 0.5000 0.5000  8 O 2.43-2.45
Mo 0.0000 0.0000 0.5000  4 O 1.81
Mo 0.0000 0.5000 0.7482  4 O 1.80-1.82
Mo 0.5000 0.0000 0.2518  4 O 1.80-1.82
Mo 0.5000 0.5000 0.0000  4 O 1.83
O 0.1539 0.2599 0.8377  1 Mo 1.82
O 0.1635 0.7591 0.4167  1 Mo 1.81
O 0.2409 0.1635 0.5833  1 Mo 1.81
O 0.2431 0.6525 0.6634  1 Mo 1.80
O 0.2438 0.3454 0.0816  1 Mo 1.83
O 0.2599 0.8461 0.1623  1 Mo 1.82
O 0.3454 0.7562 0.9184  1 Mo 1.83
O 0.3475 0.2431 0.3366  1 Mo 1.80
O 0.6525 0.7569 0.3366  1 Mo 1.80
O 0.6546 0.2438 0.9184  1 Mo 1.83
O 0.7401 0.1539 0.1623  1 Mo 1.82
O 0.7562 0.6546 0.0816  1 Mo 1.83
O 0.7569 0.3475 0.6634  1 Mo 1.80
O 0.7591 0.8365 0.5833  1 Mo 1.81
O 0.8365 0.2409 0.4167  1 Mo 1.81
O 0.8461 0.7401 0.8377  1 Mo 1.82

Number 1: magnetization 2.636 μB per formula unit. Number 2: magnetization 1.002 μB per formula unit.